Run one
Entry from Alexandria: crystalline NaBrCl2 at its relaxed geometry (PBE-GGA).

Properties
Its crystal system is trigonal. Its density of states at the Fermi level is 0.00 states/eV/f.u. The calculation puts the total magnetic moment at 0.000 μB/f.u. The theoretical density is 2.27 g/cm3. The space-group type is R-3m, No. 166.

Cell and atoms, written as POSCAR:
```
NaBrCl2
1.0
3.613 6.034 3.565
5.347 2.338 5.303
6.764 3.815 1.366
Na Br Cl
1 1 2
Cartesian
7.862 6.094 5.117
0.000 0.000 0.000
14.024 10.870 9.128
1.700 1.318 1.106
```

***

Run two
Entry from Alexandria: crystalline NaBrCl2 at its relaxed geometry (PBE-GGA).

Properties
Its crystal system is orthorhombic. Its density of states at the Fermi level is 0.00 states/eV/f.u. The calculation puts the total magnetic moment at 0.000 μB/f.u. The theoretical density is 2.19 g/cm3. The space-group type is Pna2_1, No. 33.

Cell and atoms, written as POSCAR:
```
NaBrCl2
1.0
-6.815 1.683 -0.545
-0.922 -4.537 -2.485
-2.565 -6.335 12.517
Na Br Cl
4 4 8
Cartesian
-1.315 -4.625 -0.537
-9.176 -5.491 9.516
-5.140 -4.782 6.724
-5.350 -5.334 2.255
-7.624 -3.047 6.999
-2.448 -5.010 3.108
-5.198 -2.544 -0.374
-4.874 -5.513 10.480
-4.113 -4.658 -0.263
-6.514 -6.131 8.873
-2.752 -6.096 7.413
-7.875 -4.693 1.198
-6.593 -0.506 -0.479
-3.887 -9.558 9.487
-6.368 -6.428 4.694
-4.112 -3.636 4.314
```

***

Most stable: run one (next structure +28 meV/atom)

***

Run one
Entry from Alexandria: crystalline NaBrCl4 at its relaxed geometry (PBE-GGA).

Properties
Its crystal system is orthorhombic. Its density of states at the Fermi level is 0.00 states/eV/f.u. The calculation puts the total magnetic moment at 0.000 μB/f.u. The theoretical density is 2.48 g/cm3. The space-group type is Ibam, No. 72.

Cell and atoms, written as POSCAR:
```
NaBrCl4
1.0
-3.341 4.028 4.906
-0.278 -5.665 4.461
7.400 2.472 -2.236
Na Br Cl
2 2 8
Cartesian
-2.714 -1.228 7.026
-0.905 -0.409 2.342
2.029 3.250 1.335
3.561 -1.596 1.113
-0.753 0.350 5.281
-0.080 2.540 2.269
0.873 -2.588 3.556
1.546 -0.398 0.543
3.860 -1.705 4.863
4.533 0.485 1.850
2.235 1.233 6.589
2.908 3.423 3.576
```

***

Run two
Entry from Alexandria: crystalline NaBrCl4 at its relaxed geometry (PBE-GGA).

Properties
Its crystal system is monoclinic. Its density of states at the Fermi level is 0.00 states/eV/f.u. The calculation puts the total magnetic moment at 0.000 μB/f.u. The theoretical density is 1.88 g/cm3. The space-group type is C2/c, No. 15.

Cell and atoms, written as POSCAR:
```
NaBrCl4
1.0
-7.901 0.361 5.566
-4.105 -2.412 -6.403
4.317 -3.670 5.621
Na Br Cl
2 2 8
Cartesian
-2.041 -3.336 9.179
-5.649 -2.386 -4.396
-1.644 -2.984 1.322
-6.045 -2.738 3.461
-1.441 -1.244 -0.619
-2.870 -2.685 -4.234
-3.694 -4.451 0.622
-3.995 -1.271 4.161
-6.248 -4.478 5.403
-1.254 -3.338 6.492
-6.435 -2.384 -1.708
-4.819 -3.037 9.018
```

***

Most stable: run one (next structure +9 meV/atom)

***

Run one
Entry from Alexandria: crystalline NaBrCl at its relaxed geometry (PBE-GGA).

Properties
Its crystal system is monoclinic. Its density of states at the Fermi level is 0.00 states/eV/f.u. The calculation puts the total magnetic moment at 0.000 μB/f.u. The theoretical density is 2.70 g/cm3. The space-group type is C2/m, No. 12.

Cell and atoms, written as POSCAR:
```
NaBrCl
1.0
-1.829 2.348 2.680
-1.336 -3.302 1.982
9.797 -0.483 4.116
Na Br Cl
2 2 2
Cartesian
3.794 -0.967 6.430
2.838 -0.469 2.348
7.820 0.325 5.052
-1.188 -1.761 3.725
5.209 -0.506 3.998
1.423 -0.930 4.780
```

***

Run two
Entry from Alexandria: crystalline NaBrCl at its relaxed geometry (PBE-GGA).

Properties
Its crystal system is monoclinic. Its density of states at the Fermi level is 1.34 states/eV/f.u. The calculation puts the total magnetic moment at 0.000 μB/f.u. The theoretical density is 2.71 g/cm3. The space-group type is P2_1/m, No. 11.

Cell and atoms, written as POSCAR:
```
NaBrCl
1.0
6.541 -0.395 -1.377
2.787 4.665 -1.154
1.100 0.596 5.049
Br Na Cl
2 2 2
Cartesian
2.600 1.259 0.626
7.828 3.607 1.893
5.291 0.006 0.188
5.137 4.860 2.331
3.958 3.586 0.057
6.470 1.279 2.461
```

***

Most stable: run one (next structure +116 meV/atom)

***

Run one
Entry from Alexandria: crystalline NaPBrCl2 at its relaxed geometry (PBE-GGA).

Properties
Its crystal system is tetragonal. Its density of states at the Fermi level is 1.93 states/eV/f.u. The calculation puts the total magnetic moment at 2.754 μB/f.u. The theoretical density is 1.79 g/cm3. The space-group type is P4/mmm, No. 123.

Cell and atoms, written as POSCAR:
```
NaPBrCl2
1.0
4.826 0.000 0.000
0.000 4.826 0.000
0.000 0.000 8.163
P Na Br Cl
1 1 1 2
Cartesian
0.000 0.000 4.082
0.000 0.000 0.000
2.413 2.413 4.082
0.000 2.413 0.000
2.413 0.000 0.000
```

***

Run two
Entry from Alexandria: crystalline NaPBrCl2 at its relaxed geometry (PBE-GGA).

Properties
Its crystal system is tetragonal. Its density of states at the Fermi level is 2.78 states/eV/f.u. The calculation puts the total magnetic moment at 0.452 μB/f.u. The theoretical density is 2.02 g/cm3. The space-group type is P4/mmm, No. 123.

Cell and atoms, written as POSCAR:
```
NaPBrCl2
1.0
6.045 0.000 0.000
0.000 6.045 0.000
0.000 0.000 4.605
P Na Br Cl
1 1 1 2
Cartesian
0.000 0.000 2.302
3.023 3.023 2.302
0.000 0.000 0.000
0.000 3.023 0.000
3.023 0.000 0.000
```

***

Most stable: run two (next structure +165 meV/atom)